! AlP2Pb (PBE, relaxed); values from VASP
! Size of the total moment   0.000 μB/atom
! E above lowest polymorph   15.6 kJ/mol of formula units
! Mass density   6.1 g cm⁻³
! Total energy   -18.52 eV/cell
! Energy of formation   -0.0618 eV/atom
&SYSTEM
  ibrav = 0, nat = 4, ntyp = 3
/
ATOMIC_SPECIES
Pb 207.20 Pb.upf
P 30.97 P.upf
Al 26.98 Al.upf
CELL_PARAMETERS angstrom
3.8204 -0.0060 0.0052
1.9105 3.3084 0.0052
1.9124 1.1020 6.4158
ATOMIC_POSITIONS crystal
Pb 0.7500 0.7500 0.7500
P 0.9832 0.9832 0.0505
P 0.5168 0.5168 0.4495
Al 0.2500 0.2500 0.2500